DFT (PBE) results for a relaxed PuFeTcGe2 crystal.

Calculated values
**Energy**: -8.7438 eV/atom

Cell and atoms, written as POSCAR:
```
PuFeTcGe2
1.0
4.011 0.000 0.000
0.000 4.011 0.000
-2.006 -2.006 5.474
Pu Fe Tc Ge
1 1 1 2
direct
0.000 0.000 0.000 Pu
0.750 0.250 0.500 Fe
0.250 0.750 0.500 Tc
0.619 0.619 0.237 Ge
0.381 0.381 0.763 Ge
```

DFT (PBE) results for a relaxed AlHg8 crystal.

Calculated values
**Energy**: -0.5949 eV/atom

Cell and atoms, written as POSCAR:
```
AlHg8
1.0
-6.277 -3.580 2.730
6.991 -0.488 -3.249
2.757 1.720 7.008
Al Hg
1 8
direct
0.000 0.000 0.000 Al
0.339 0.661 0.000 Hg
0.661 0.339 0.000 Hg
0.000 0.333 0.333 Hg
0.661 0.661 0.322 Hg
0.333 0.000 0.333 Hg
0.339 0.339 0.678 Hg
0.000 0.667 0.667 Hg
0.667 0.000 0.667 Hg
```

DFT (PBE) results for a relaxed AcNdCo crystal.

Calculated values
**Energy**: -5.2252 eV/atom

Cell and atoms, written as POSCAR:
```
AcNdCo
1.0
4.980 0.000 0.000
2.490 4.313 0.000
2.490 1.438 4.066
Co Ac Nd
1 1 1
direct
0.250 0.250 0.250 Co
0.500 0.500 0.500 Ac
0.000 0.000 0.000 Nd
```